No. 1
# PBE Ca2LaNbI, optimized geometry
data_Ca2LaNbI
_chemical_formula_sum 'Ca2 La1 Nb1 I1'
_symmetry_space_group_name_H-M 'P 1'
_symmetry_Int_Tables_number 1
_symmetry_space_group_name_Hall 'P 1'
_cell_length_a 6.3435
_cell_length_b 4.8955
_cell_length_c 6.3435
_cell_angle_alpha 90.00
_cell_angle_beta 90.00
_cell_angle_gamma 90.00
loop_
_atom_site_label
_atom_site_fract_x
_atom_site_fract_y
_atom_site_fract_z
I1 0.5000 0.5000 0.5000
Nb1 0.0000 0.5000 0.0000
Ca1 0.0000 0.0000 0.5000
Ca2 0.5000 0.0000 0.0000
La1 0.0000 0.0000 0.0000
# Density of states at the Fermi level ... 5.63 states/eV/f.u.
# Space group ... P4/mmm
# Crystal system ... tetragonal
# Raw formation energy ... 0.865 eV per atom
# Total magnetic moment ... 0.380 μB/cell

***

No. 2
# PBE CaLaIO2, optimized geometry
data_CaLaIO2
_chemical_formula_sum 'Ca2 La2 I2 O4'
_symmetry_space_group_name_H-M 'P 1'
_symmetry_Int_Tables_number 1
_symmetry_space_group_name_Hall 'P 1'
_cell_length_a 4.3177
_cell_length_b 7.2271
_cell_length_c 8.2221
_cell_angle_alpha 102.43
_cell_angle_beta 90.00
_cell_angle_gamma 90.00
loop_
_atom_site_label
_atom_site_fract_x
_atom_site_fract_y
_atom_site_fract_z
Ca1 0.2500 0.6236 0.9014
Ca2 0.7500 0.3764 0.0986
La1 0.2500 0.6536 0.3982
La2 0.7500 0.3464 0.6018
I1 0.2500 0.0279 0.7620
I2 0.7500 0.9721 0.2380
O1 0.7500 0.5192 0.3870
O2 0.2500 0.4808 0.6130
O3 0.7500 0.5038 0.8673
O4 0.2500 0.4962 0.1327
# Density of states at the Fermi level ... 0.00 states/eV/f.u.
# Space group ... P2_1/m
# Crystal system ... monoclinic
# Raw formation energy ... -2.843 eV per atom
# Total magnetic moment ... 0.000 μB/cell
# Energy above the most stable polymorph in this dataset ... 0 meV/atom

***

No. 3
# PBE CaLaIO2, optimized geometry
data_CaLaIO2
_chemical_formula_sum 'Ca1 La1 I1 O2'
_symmetry_space_group_name_H-M 'P 1'
_symmetry_Int_Tables_number 1
_symmetry_space_group_name_Hall 'P 1'
_cell_length_a 4.5548
_cell_length_b 4.5548
_cell_length_c 5.4996
_cell_angle_alpha 90.00
_cell_angle_beta 90.00
_cell_angle_gamma 90.00
loop_
_atom_site_label
_atom_site_fract_x
_atom_site_fract_y
_atom_site_fract_z
I1 0.0000 0.0000 0.5000
Ca1 0.0000 0.0000 0.0000
O1 0.0000 0.5000 0.0000
O2 0.5000 0.0000 0.0000
La1 0.5000 0.5000 0.5000
# Density of states at the Fermi level ... 2.54 states/eV/f.u.
# Space group ... P4/mmm
# Crystal system ... tetragonal
# Raw formation energy ... -1.403 eV per atom
# Total magnetic moment ... 0.262 μB/cell
# Energy above the most stable polymorph in this dataset ... 1440 meV/atom

***

No. 4
# PBE CaLaI2O, optimized geometry
data_CaLaI2O
_chemical_formula_sum 'Ca1 La1 I2 O1'
_symmetry_space_group_name_H-M 'P 1'
_symmetry_Int_Tables_number 1
_symmetry_space_group_name_Hall 'P 1'
_cell_length_a 6.0528
_cell_length_b 6.0528
_cell_length_c 4.2085
_cell_angle_alpha 90.00
_cell_angle_beta 90.00
_cell_angle_gamma 90.00
loop_
_atom_site_label
_atom_site_fract_x
_atom_site_fract_y
_atom_site_fract_z
I1 0.0000 0.5000 0.0000
I2 0.5000 0.0000 0.0000
Ca1 0.0000 0.0000 0.0000
O1 0.0000 0.0000 0.5000
La1 0.5000 0.5000 0.5000
# Density of states at the Fermi level ... 4.29 states/eV/f.u.
# Space group ... P4/mmm
# Crystal system ... tetragonal
# Raw formation energy ... -1.314 eV per atom
# Total magnetic moment ... 0.340 μB/cell
# Energy above the most stable polymorph in this dataset ... 324 meV/atom